An optimized crystal structure of BeCu2NiO, computed with PBE with a Hubbard U.

Values from the calculation:
* final energy: -18.53 eV per cell
* space group: P4/mmm (123)

Geometry as POSCAR:
```
BeCu2NiO
1.0
4.518 0.000 0.000
0.000 4.518 0.000
0.000 0.000 2.843
Be Cu Ni O
1 2 1 1
Direct
0.000 0.000 0.000
0.000 0.500 0.000
0.500 0.000 0.000
0.500 0.500 0.500
0.000 0.000 0.500
```